# 1
First-principles (PBE) data for a relaxed structure of P2RuO8, as listed in the Alexandria database.

Unit cell a=12.6451 b=5.6596 c=4.6560 alpha=90.00 beta=93.83 gamma=90.00
Space group C2/m (No. 12)
Asymmetric unit:
P1 0.1485 0.0000 0.1184 (multiplicity 4)
Ru1 0.0000 0.0000 0.5000 (multiplicity 2)
O1 0.0838 0.2099 0.2618 (multiplicity 8)
O2 0.1156 0.0000 0.7874 (multiplicity 4)
O3 0.2353 0.5000 0.8190 (multiplicity 4)

Theoretical density: 2907 kg/m³
Density of states at the Fermi level: 10.01 states/eV per cell
E: -6.81 eV/atom
ΔE_f (raw): -132.9 kJ per mole of atoms

---

# 2
First-principles (PBE) data for a relaxed structure of AcB4W, as listed in the Alexandria database.

Unit cell a=6.3140 b=12.2742 c=3.8220 alpha=90.00 beta=90.00 gamma=90.00
Space group Pbam (No. 55)
Asymmetric unit:
Ac1 0.1215 0.1522 0.0000 (multiplicity 4)
B1 0.0212 0.6832 0.5000 (multiplicity 4)
B2 0.1094 0.5441 0.5000 (multiplicity 4)
B3 0.1471 0.9672 0.5000 (multiplicity 4)
B4 0.2311 0.8227 0.5000 (multiplicity 4)
W1 0.1239 0.4194 0.0000 (multiplicity 4)

Theoretical density: 10182 kg/m³
Density of states at the Fermi level: 0.15 states/eV per cell
E_form: -0.30 eV per atom
E: -7.59 eV/atom

---

# 3
First-principles (PBE) data for a relaxed structure of TlCuRu2, as listed in the Alexandria database.

Unit cell a=2.9005 b=2.9005 c=7.6200 alpha=90.00 beta=90.00 gamma=90.00
Space group P4mm (No. 99)
Asymmetric unit:
Tl1 0.0000 0.0000 0.0000 (multiplicity 1)
Cu1 0.5000 0.5000 0.2759 (multiplicity 1)
Ru1 0.0000 0.0000 0.5055 (multiplicity 1)
Ru2 0.5000 0.5000 0.7127 (multiplicity 1)

Theoretical density: 12176 kg/m³
Density of states at the Fermi level: 3.32 states/eV per cell
E_form: 0.38 eV per atom
E: -5.88 eV/atom
Energy above the lowest structure with this stoichiometry: 0 meV/atom

---

# 4
First-principles (PBE) data for a relaxed structure of LiErAg, as listed in the Alexandria database.

Unit cell a=4.2378 b=12.6725 c=7.3328 alpha=90.00 beta=90.00 gamma=90.00
Space group Amm2 (No. 38)
Asymmetric unit:
Li1 0.0000 0.0000 0.0000 (multiplicity 2)
Li2 0.0000 0.1184 0.6459 (multiplicity 4)
Er1 0.5000 0.0000 0.3454 (multiplicity 2)
Er2 0.5000 0.2092 0.9735 (multiplicity 4)
Ag1 0.0000 0.1668 0.2641 (multiplicity 4)
Ag2 0.5000 0.0000 0.7631 (multiplicity 2)

Theoretical density: 7136 kg/m³
Density of states at the Fermi level: 10.83 states/eV per cell
E_form: -0.19 eV per atom
E: -3.30 eV/atom
Energy above the lowest structure with this stoichiometry: 0 meV/atom

---

# 5
First-principles (PBE) data for a relaxed structure of SmBeRh, as listed in the Alexandria database.

Unit cell a=6.9020 b=4.2111 c=7.3107 alpha=90.00 beta=90.00 gamma=90.00
Space group Pnma (No. 62)
Asymmetric unit:
Sm1 0.0092 0.2500 0.1931 (multiplicity 4)
Be1 0.1764 0.2500 0.5852 (multiplicity 4)
Rh1 0.1666 0.7500 0.4323 (multiplicity 4)

Theoretical density: 8199 kg/m³
Density of states at the Fermi level: 6.37 states/eV per cell
E_form: -0.53 eV per atom
E: -5.79 eV/atom
Energy above the lowest structure with this stoichiometry: 34 meV/atom

---

# 6
First-principles (PBE) data for a relaxed structure of YRe2Mo, as listed in the Alexandria database.

Unit cell a=3.1763 b=3.1763 c=7.1475 alpha=90.00 beta=90.00 gamma=90.00
Space group P4mm (No. 99)
Asymmetric unit:
Y1 0.0000 0.0000 0.0000 (multiplicity 1)
Re1 0.0000 0.0000 0.5043 (multiplicity 1)
Re2 0.5000 0.5000 0.7102 (multiplicity 1)
Mo1 0.5000 0.5000 0.2936 (multiplicity 1)

Theoretical density: 12832 kg/m³
Density of states at the Fermi level: 2.75 states/eV per cell
E_form: 0.26 eV per atom
E: -10.29 eV/atom
Energy above the lowest structure with this stoichiometry: 82 meV/atom

---

# 7
First-principles (PBE) data for a relaxed structure of SrLaW2, as listed in the Alexandria database.

Unit cell a=3.6102 b=5.2951 c=11.2744 alpha=90.00 beta=90.00 gamma=90.00
Space group Imm2 (No. 44)
Asymmetric unit:
Sr1 0.0000 0.0000 0.0000 (multiplicity 2)
La1 0.0000 0.5000 0.7754 (multiplicity 2)
W1 0.0000 0.0000 0.5756 (multiplicity 2)
W2 0.0000 0.5000 0.2249 (multiplicity 2)

Theoretical density: 9156 kg/m³
Density of states at the Fermi level: 6.42 states/eV per cell
E_form: 0.74 eV per atom
E: -7.39 eV/atom
Energy above the lowest structure with this stoichiometry: 201 meV/atom